Compound: Pr4TlAuO
Source: Alexandria via LeMat-Bulk
Functional: PBE
Structure: relaxed

```
data_Pr4TlAuO
_chemical_formula_sum 'Pr8 Tl2 Au2 O2'
_symmetry_space_group_name_H-M 'P 1'
_symmetry_Int_Tables_number 1
_symmetry_space_group_name_Hall 'P 1'
_cell_length_a 6.976
_cell_length_b 7.005
_cell_length_c 8.701
_cell_angle_alpha 90.00
_cell_angle_beta 113.63
_cell_angle_gamma 90.00
loop_
_atom_site_label
_atom_site_type_symbol
_atom_site_fract_x
_atom_site_fract_y
_atom_site_fract_z
O1 O 0.742 0.250 0.485
Pr1 Pr 0.000 0.000 0.500
Au1 Au 0.122 0.250 0.244
Pr2 Pr 0.940 0.250 0.879
Pr3 Pr 0.580 0.250 0.159
Tl1 Tl 0.385 0.250 0.770
Pr4 Pr 0.000 0.500 0.500
Pr5 Pr 0.060 0.750 0.121
Pr6 Pr 0.500 0.500 0.500
Au2 Au 0.878 0.750 0.756
O2 O 0.258 0.750 0.515
Pr7 Pr 0.500 0.000 0.500
Pr8 Pr 0.420 0.750 0.841
Tl2 Tl 0.615 0.750 0.230
```

Values from the calculation:
Its space group is Cmcm, No. 63. The magnetic moment comes out at 0.000 μB per cell. The value obtained for the density is 8363 kg/m³. Its total energy is -5.323 eV/atom.